PBE KReNi, optimized geometry; magnetization = 0.0 Bohr magnetons per cell; formation enthalpy at 0 K = 0.96 eV per atom
1.0
4.614 -3.121 0.000
4.614 3.121 0.000
-2.478 0.000 4.170
K Re Ni
2 2 2
Cartesian
0.000 0.000 0.000 K
0.299 0.000 3.011 K
3.547 0.000 3.032 Re
5.359 0.000 1.272 Re
2.510 1.486 1.458 Ni
2.510 -1.486 1.458 Ni


PBE KReNi3, optimized geometry; magnetization = 4.3 Bohr magnetons per cell; formation enthalpy at 0 K = 2.53 eV per atom
1.0
4.379 0.000 0.000
0.000 4.379 0.000
0.000 0.000 4.379
K Re Ni
1 1 3
Cartesian
0.000 0.000 0.000 K
2.189 2.189 2.189 Re
0.000 0.000 2.189 Ni
0.000 2.189 0.000 Ni
2.189 0.000 0.000 Ni


PBE KReNi, optimized geometry; magnetization = 0.0 Bohr magnetons per cell; formation enthalpy at 0 K = 0.66 eV per atom
1.0
4.064 0.000 0.000
0.000 4.907 0.000
0.000 0.000 7.025
K Re Ni
2 2 2
Cartesian
0.000 0.000 0.000 K
2.032 2.453 1.545 K
2.032 0.000 4.361 Re
2.032 2.453 4.819 Re
0.000 1.238 3.832 Ni
0.000 3.669 3.832 Ni


PBE KRe2NiSe8, optimized geometry; magnetization = 0.0 Bohr magnetons per cell; E_form (uncorrected) = -227 meV per atom
1.0
3.129 1.807 9.629
-3.129 1.807 9.629
0.000 -3.613 9.629
K Re Ni Se
1 2 1 8
Cartesian
0.000 0.000 0.000 K
0.000 0.000 7.089 Re
0.000 0.000 21.798 Re
0.000 0.000 14.444 Ni
-0.983 -1.799 13.027 Se
-2.049 -0.048 15.861 Se
0.000 0.000 9.385 Se
-1.067 1.750 13.027 Se
1.067 -1.750 15.861 Se
0.000 0.000 19.502 Se
2.049 0.048 13.027 Se
0.983 1.799 15.861 Se


PBE K3ReNi3Se8, optimized geometry; magnetization = 0.3 Bohr magnetons per cell; E_form (uncorrected) = -440 meV per atom
1.0
7.480 0.000 0.000
-3.736 6.480 0.000
-3.733 -2.156 7.459
K Re Ni Se
3 1 3 8
Cartesian
0.000 0.000 0.000 K
-1.868 3.240 0.000 K
3.740 0.000 0.000 K
1.873 -1.078 3.730 Re
-1.866 -1.078 3.730 Ni
-3.735 2.162 3.730 Ni
0.005 2.162 3.730 Ni
-3.766 4.305 2.469 Se
-1.869 1.079 2.550 Se
-0.024 0.022 4.992 Se
-1.860 3.206 4.991 Se
1.871 1.118 2.468 Se
0.035 4.301 2.468 Se
1.879 3.244 4.909 Se
3.776 0.019 4.990 Se


PBE KReSiNi2, optimized geometry; magnetization = 2.8 Bohr magnetons per cell; E_form (uncorrected) = 2724 meV per atom
1.0
4.206 0.000 0.000
0.000 4.206 0.000
0.000 0.000 5.416
K Re Si Ni
1 1 1 2
Cartesian
0.000 0.000 0.000 K
0.000 0.000 2.708 Re
2.103 2.103 2.708 Si
0.000 2.103 0.000 Ni
2.103 0.000 0.000 Ni


PBE KReSiNi2, optimized geometry; magnetization = 1.8 Bohr magnetons per cell; E_form (uncorrected) = 890 meV per atom
1.0
4.485 0.000 0.000
0.000 4.485 0.000
0.000 0.000 4.592
K Re Si Ni
1 1 1 2
Cartesian
0.000 0.000 0.000 K
2.243 2.243 0.000 Re
2.243 2.243 2.296 Si
0.000 2.243 2.296 Ni
2.243 0.000 2.296 Ni


PBE KNiRh2, optimized geometry; magnetization = 0.7 Bohr magnetons per cell; formation enthalpy at 0 K = 0.49 eV per atom
1.0
2.732 0.000 0.000
0.000 4.221 0.000
-1.349 0.000 6.810
K Ni Rh
1 1 2
Cartesian
0.000 0.000 0.000 K
1.346 2.110 2.174 Ni
-0.016 2.110 4.299 Rh
1.350 0.000 3.493 Rh


> Look up the magnetization of the eighth one.

0.7 Bohr magnetons per cell


> Which of these has the highest magnetization?

KReNi3


Please write out number 2 again, unchanged.
PBE KReNi3, optimized geometry; magnetization = 4.3 Bohr magnetons per cell; formation enthalpy at 0 K = 2.53 eV per atom
1.0
4.379 0.000 0.000
0.000 4.379 0.000
0.000 0.000 4.379
K Re Ni
1 1 3
Cartesian
0.000 0.000 0.000 K
2.189 2.189 2.189 Re
0.000 0.000 2.189 Ni
0.000 2.189 0.000 Ni
2.189 0.000 0.000 Ni


> What is the magnetization in the seventh record?

1.8 Bohr magnetons per cell